[1]
CeEuP | GGA-PBE | optimized geometry

Calculated values
Raw total energy: -24.01 eV per formula unit

abc: 6.4988 4.1029 4.1029
angles: 120.00 90.00 90.00
Last column: magnetic moment on the atom in μB.
Element x y z (fractional)
Ce1 0.2467 0.3333 0.6667  1.19
Eu1 0.7428 0.6667 0.3333  6.99
P1 0.0105 0.0000 0.0000  -0.05

---

[2]
CeEuP2 | GGA-PBE | optimized geometry

Calculated values
Raw total energy: -32.50 eV per formula unit

abc: 4.1506 4.1506 7.1699
angles: 73.18 73.18 60.00
Last column: magnetic moment on the atom in μB.
Element x y z (fractional)
Ce1 0.0000 0.0000 0.0000  0.29
P1 0.2557 0.2557 0.2329  -0.05
P2 0.7443 0.7443 0.7671  -0.05
Eu1 0.5000 0.5000 0.5000  6.68

---

[3]
CeEu2Pa | GGA-PBE | optimized geometry

Calculated values
Raw total energy: -34.26 eV per formula unit

abc: 3.3148 3.3148 12.8908
angles: 82.61 82.61 60.00
Last column: magnetic moment on the atom in μB.
Element x y z (fractional)
Eu1 0.0843 0.0843 0.7471  -7.03
Eu2 0.9157 0.9157 0.2529  -7.03
Ce1 0.5000 0.5000 0.5000  0.56
Pa1 0.0000 0.0000 0.0000  0.19

---

[4]
CeEuPaSn | GGA-PBE | optimized geometry

Calculated values
Raw total energy: -29.40 eV per formula unit

abc: 5.4045 5.4045 5.4045
angles: 60.00 60.00 60.00
Last column: magnetic moment on the atom in μB.
Element x y z (fractional)
Ce1 0.5000 0.5000 0.5000  0.91
Pa1 0.7500 0.7500 0.7500  1.42
Eu1 0.0000 0.0000 0.0000  6.89
Sn1 0.2500 0.2500 0.2500  -0.06